1.
The following is a GGA-PBE calculation of a relaxed structure of LiTmTl2, from Alexandria via LeMat-Bulk.

Computed properties:
Space-group type ... No. 160
Total magnetic moment ... 0.000 μB/cell

a = 3.5494 Å, b = 3.5494 Å, c = 9.5970 Å
α = 79.34°, β = 79.34°, γ = 60.00°
Closest atoms and distances in Å follow each position.
Positions (direct):
Li  0.4998  0.4998  0.5006  6 Tl 2.96-2.97
Tm  0.6666  0.6666  0.0001  6 Tl 3.26-3.27, 6 Tm 3.55
Tl  0.0905  0.0905  0.7284  3 Li 2.96, 3 Tm 3.27
Tl  0.2430  0.2430  0.2710  3 Li 2.97, 3 Tm 3.26

2.
The following is a GGA-PBE calculation of a relaxed structure of LiTmTl2, from Alexandria via LeMat-Bulk.

Computed properties:
Space-group type ... No. 123
Total magnetic moment ... 0.000 μB/cell

a = 3.8059 Å, b = 5.0586 Å, c = 5.0586 Å
α = 90.00°, β = 90.00°, γ = 90.00°
Closest atoms and distances in Å follow each position.
Positions (direct):
Tl  0.0000  0.0000  0.5000  4 Tm 3.17, 4 Li 3.17
Tl  0.0000  0.5000  0.0000  4 Li 3.17, 4 Tm 3.17
Tm  0.5000  0.5000  0.5000  8 Tl 3.17
Li  0.5000  0.0000  0.0000  8 Tl 3.17

Stability check: which of them is least stable? 1.

1.
The following is a GGA-PBE calculation of a relaxed structure of LiTlV3, from Alexandria via LeMat-Bulk.

Computed properties:
Space-group type ... No. 221
Total magnetic moment ... 10.476 μB/cell

a = 5.2258 Å, b = 5.2258 Å, c = 5.2258 Å
α = 90.00°, β = 90.00°, γ = 90.00°
Closest atoms and distances in Å follow each position.
Positions (direct):
Tl  0.0000  0.0000  0.0000  6 V 2.61
V  0.0000  0.5000  0.0000  2 Tl 2.61
V  0.0000  0.0000  0.5000  2 Tl 2.61
V  0.5000  0.0000  0.0000  2 Tl 2.61
Li  0.5000  0.5000  0.5000  12 V 3.70

2.
The following is a GGA-PBE calculation of a relaxed structure of LiTlV3, from Alexandria via LeMat-Bulk.

Computed properties:
Space-group type ... No. 221
Total magnetic moment ... 0.403 μB/cell

a = 4.2518 Å, b = 4.2518 Å, c = 4.2518 Å
α = 90.00°, β = 90.00°, γ = 90.00°
Closest atoms and distances in Å follow each position.
Positions (direct):
Tl  0.5000  0.5000  0.5000  12 V 3.01
V  0.0000  0.5000  0.0000  2 Li 2.13
V  0.0000  0.0000  0.5000  2 Li 2.13
V  0.5000  0.0000  0.0000  2 Li 2.13
Li  0.0000  0.0000  0.0000  6 V 2.13

Stability check: which of them is least stable? 1.

1.
The following is a GGA-PBE calculation of a relaxed structure of LiTl3V, from Alexandria via LeMat-Bulk.

Computed properties:
Space-group type ... No. 221
Total magnetic moment ... 0.000 μB/cell

a = 5.2830 Å, b = 5.2830 Å, c = 5.2830 Å
α = 90.00°, β = 90.00°, γ = 90.00°
Closest atoms and distances in Å follow each position.
Positions (direct):
Tl  0.0000  0.5000  0.0000  2 V 2.64
Tl  0.0000  0.0000  0.5000  2 V 2.64
Tl  0.5000  0.0000  0.0000  2 V 2.64
V  0.0000  0.0000  0.0000  6 Tl 2.64
Li  0.5000  0.5000  0.5000  12 Tl 3.74

2.
The following is a GGA-PBE calculation of a relaxed structure of LiTl3V, from Alexandria via LeMat-Bulk.

Computed properties:
Space-group type ... No. 221
Total magnetic moment ... 3.536 μB/cell

a = 5.0413 Å, b = 5.0413 Å, c = 5.0413 Å
α = 90.00°, β = 90.00°, γ = 90.00°
Closest atoms and distances in Å follow each position.
Positions (direct):
Tl  0.0000  0.5000  0.0000  2 Li 2.52
Tl  0.0000  0.0000  0.5000  2 Li 2.52
Tl  0.5000  0.0000  0.0000  2 Li 2.52
V  0.5000  0.5000  0.5000  12 Tl 3.56
Li  0.0000  0.0000  0.0000  6 Tl 2.52

Stability check: which of them is least stable? 2.

1.
The following is a GGA-PBE calculation of a relaxed structure of Li2TlW, from Alexandria via LeMat-Bulk.

Computed properties:
Space-group type ... No. 25
Total magnetic moment ... 0.359 μB/cell

a = 2.8352 Å, b = 4.1697 Å, c = 5.9984 Å
α = 90.00°, β = 90.00°, γ = 90.00°
Closest atoms and distances in Å follow each position.
Positions (direct):
Li  0.0000  0.0000  0.9998  6 Li 2.84-2.90, 4 W 2.90, 2 Tl 2.99-3.01
Li  0.5000  0.5000  0.2403  6 Li 2.84-2.90, 2 W 2.87-3.13, 4 Tl 2.96
Tl  0.0000  0.0000  0.4979  2 Tl 2.84, 6 Li 2.96-3.01, 4 W 2.98
W  0.5000  0.5000  0.7620  2 W 2.84, 6 Li 2.87-3.13, 4 Tl 2.98

2.
The following is a GGA-PBE calculation of a relaxed structure of Li2TlW, from Alexandria via LeMat-Bulk.

Computed properties:
Space-group type ... No. 160
Total magnetic moment ... 0.001 μB/cell

a = 10.0588 Å, b = 10.0588 Å, c = 10.0588 Å
α = 16.99°, β = 16.99°, γ = 16.99°
Closest atoms and distances in Å follow each position.
Positions (direct):
Li  0.0026  0.0026  0.0026  3 W 2.92, 9 Li 2.97-3.14
Li  0.2477  0.2477  0.2477  3 Tl 2.93, 9 Li 2.97-3.14
Tl  0.5011  0.5011  0.5011  3 Li 2.93, 6 Tl 2.97, 3 W 3.08
W  0.7486  0.7486  0.7486  3 Li 2.92, 6 W 2.97, 3 Tl 3.08

3.
The following is a GGA-PBE calculation of a relaxed structure of Li2TlW, from Alexandria via LeMat-Bulk.

Computed properties:
Space-group type ... No. 99
Total magnetic moment ... 0.000 μB/cell

a = 2.9195 Å, b = 2.9195 Å, c = 7.9955 Å
α = 90.00°, β = 90.00°, γ = 90.00°
Closest atoms and distances in Å follow each position.
Positions (direct):
Li  0.0000  0.0000  0.0070  8 Li 2.75-2.92, 4 W 2.78
Li  0.5000  0.5000  0.2346  8 Li 2.75-2.92, 4 Tl 2.87
Tl  0.0000  0.0000  0.4847  4 Li 2.87, 4 Tl 2.92, 4 W 3.10
W  0.5000  0.5000  0.7737  4 Li 2.78, 4 W 2.92, 4 Tl 3.10

Stability check: which of them is least stable? 1.

1.
The following is a GGA-PBE calculation of a relaxed structure of Li2TlW, from Alexandria via LeMat-Bulk.

Computed properties:
Space-group type ... No. 119
Total magnetic moment ... 1.674 μB/cell

a = 4.9435 Å, b = 4.9435 Å, c = 4.9435 Å
α = 130.01°, β = 130.01°, γ = 73.39°
Closest atoms and distances in Å follow each position.
Positions (direct):
Li  0.0000  0.0000  0.0000  4 Li 2.88, 4 W 2.88, 4 Tl 2.95
Li  0.2500  0.7500  0.5000  4 Li 2.88, 4 Tl 2.88, 4 W 2.95
Tl  0.5000  0.5000  0.0000  4 W 2.88, 8 Li 2.88-2.95
W  0.7500  0.2500  0.5000  4 Tl 2.88, 8 Li 2.88-2.95

2.
The following is a GGA-PBE calculation of a relaxed structure of Li2TlW, from Alexandria via LeMat-Bulk.

Computed properties:
Space-group type ... No. 65
Total magnetic moment ... 0.000 μB/cell

a = 2.8259 Å, b = 2.8259 Å, c = 9.8103 Å
α = 90.00°, β = 90.00°, γ = 111.38°
Closest atoms and distances in Å follow each position.
Positions (direct):
Li  0.0000  0.0000  0.9881  4 Li 2.83, 2 W 2.83, 2 Tl 3.02
Li  0.0000  0.0000  0.5119  4 Li 2.83, 2 W 2.83, 2 Tl 3.02
Tl  0.5000  0.5000  0.2500  4 Tl 2.83, 4 Li 3.02
W  0.5000  0.5000  0.7500  4 W 2.83, 4 Li 2.83

Stability check: which of them is least stable? 1.

1.
The following is a GGA-PBE calculation of a relaxed structure of Li2TlW, from Alexandria via LeMat-Bulk.

Computed properties:
Space-group type ... No. 65
Total magnetic moment ... 0.000 μB/cell

a = 5.3872 Å, b = 5.3872 Å, c = 2.7436 Å
α = 90.00°, β = 90.00°, γ = 116.45°
Closest atoms and distances in Å follow each position.
Positions (direct):
Li  0.0000  0.0000  0.0000  4 Li 2.74-2.84, 4 W 3.02, 4 Tl 3.02
Li  0.5000  0.5000  0.0000  4 Li 2.74-2.84, 4 Tl 3.02, 4 W 3.02
Tl  0.5000  0.0000  0.5000  2 Tl 2.74, 2 W 2.84, 8 Li 3.02
W  0.0000  0.5000  0.5000  2 W 2.74, 2 Tl 2.84, 8 Li 3.02

2.
The following is a GGA-PBE calculation of a relaxed structure of Li2TlW, from Alexandria via LeMat-Bulk.

Computed properties:
Space-group type ... No. 139
Total magnetic moment ... 1.058 μB/cell

a = 5.3256 Å, b = 5.3256 Å, c = 5.3256 Å
α = 136.15°, β = 136.15°, γ = 63.76°
Closest atoms and distances in Å follow each position.
Positions (direct):
Li  0.0000  0.0000  0.0000  4 Li 2.81, 4 Tl 3.01, 4 W 3.01
Li  0.5000  0.5000  0.0000  4 Li 2.81, 4 Tl 3.01, 4 W 3.01
Tl  0.2500  0.7500  0.5000  4 W 2.81, 8 Li 3.01
W  0.7500  0.2500  0.5000  4 Tl 2.81, 8 Li 3.01

Stability check: which of them is least stable? 2.

1.
The following is a GGA-PBE calculation of a relaxed structure of LiTlW, from Alexandria via LeMat-Bulk.

Computed properties:
Space-group type ... No. 156
Total magnetic moment ... 0.000 μB/cell

a = 2.9595 Å, b = 2.9595 Å, c = 7.4095 Å
α = 90.00°, β = 90.00°, γ = 120.00°
Closest atoms and distances in Å follow each position.
Positions (direct):
Li  0.0000  0.0000  0.9956  3 W 2.92, 6 Li 2.96, 3 Tl 3.00
Tl  0.6667  0.3333  0.3276  6 Tl 2.96, 3 Li 3.00, 3 W 3.10
W  0.3333  0.6667  0.6768  3 Li 2.92, 6 W 2.96, 3 Tl 3.10

2.
The following is a GGA-PBE calculation of a relaxed structure of LiTlW, from Alexandria via LeMat-Bulk.

Computed properties:
Space-group type ... No. 107
Total magnetic moment ... 0.000 μB/cell

a = 7.2567 Å, b = 7.2567 Å, c = 7.2567 Å
α = 157.56°, β = 157.56°, γ = 31.94°
Closest atoms and distances in Å follow each position.
Positions (direct):
Li  0.0039  0.0039  0.0000  4 Li 2.82, 4 W 2.96, 4 Tl 3.08
Tl  0.3358  0.3358  0.0000  4 Tl 2.82, 4 Li 3.08, 4 W 3.16
W  0.6603  0.6603  0.0000  4 W 2.82, 4 Li 2.96, 4 Tl 3.16

3.
The following is a GGA-PBE calculation of a relaxed structure of LiTlW, from Alexandria via LeMat-Bulk.

Computed properties:
Space-group type ... No. 187
Total magnetic moment ... 1.047 μB/cell

a = 4.5963 Å, b = 4.5963 Å, c = 2.8953 Å
α = 90.00°, β = 90.00°, γ = 120.00°
Closest atoms and distances in Å follow each position.
Positions (direct):
Li  0.0000  0.0000  0.1673  3 Tl 2.65, 2 Li 2.90
Tl  0.6667  0.3333  0.1659  3 Li 2.65, 2 Tl 2.90
W  0.3333  0.6667  0.6668  2 W 2.90, 6 Tl 3.02, 6 Li 3.02

4.
The following is a GGA-PBE calculation of a relaxed structure of LiTlW, from Alexandria via LeMat-Bulk.

Computed properties:
Space-group type ... No. 216
Total magnetic moment ... 2.202 μB/cell

a = 4.5861 Å, b = 4.5861 Å, c = 4.5861 Å
α = 60.00°, β = 60.00°, γ = 60.00°
Closest atoms and distances in Å follow each position.
Positions (direct):
Li  0.0000  0.0000  0.0000  4 W 2.81
Tl  0.5000  0.5000  0.5000  4 W 2.81
W  0.7500  0.7500  0.7500  4 Tl 2.81, 4 Li 2.81

Stability check: which of them is least stable? 4.

1.
The following is a GGA-PBE calculation of a relaxed structure of LiTl3W, from Alexandria via LeMat-Bulk.

Computed properties:
Space-group type ... No. 221
Total magnetic moment ... 3.493 μB/cell

a = 5.0106 Å, b = 5.0106 Å, c = 5.0106 Å
α = 90.00°, β = 90.00°, γ = 90.00°
Closest atoms and distances in Å follow each position.
Positions (direct):
Tl  0.0000  0.5000  0.0000  2 Li 2.51
Tl  0.0000  0.0000  0.5000  2 Li 2.51
Tl  0.5000  0.0000  0.0000  2 Li 2.51
W  0.5000  0.5000  0.5000  12 Tl 3.54
Li  0.0000  0.0000  0.0000  6 Tl 2.51

2.
The following is a GGA-PBE calculation of a relaxed structure of LiTl3W, from Alexandria via LeMat-Bulk.

Computed properties:
Space-group type ... No. 221
Total magnetic moment ... 0.000 μB/cell

a = 5.3988 Å, b = 5.3988 Å, c = 5.3988 Å
α = 90.00°, β = 90.00°, γ = 90.00°
Closest atoms and distances in Å follow each position.
Positions (direct):
Tl  0.0000  0.5000  0.0000  2 W 2.70
Tl  0.0000  0.0000  0.5000  2 W 2.70
Tl  0.5000  0.0000  0.0000  2 W 2.70
W  0.0000  0.0000  0.0000  6 Tl 2.70
Li  0.5000  0.5000  0.5000  12 Tl 3.82

Stability check: which of them is least stable? 1.